No. 1
DFT (PBEsol) results for an optimized crystal structure of HOsSe3.

CIF file:
```
data_HOsSe3
_chemical_formula_sum 'H1 Os1 Se3'
_space_group_name_H-M_alt 'P 1'
_space_group_IT_number 1
_cell_length_a 4.127
_cell_length_b 4.127
_cell_length_c 4.127
_cell_angle_alpha 90.00
_cell_angle_beta 90.00
_cell_angle_gamma 90.00
loop_
_space_group_symop_operation_xyz
'x,y,z'
loop_
_atom_site_label
_atom_site_type_symbol
_atom_site_fract_x
_atom_site_fract_y
_atom_site_fract_z
H1 H 0.000 0.000 0.000
Os1 Os 0.500 0.500 0.500
Se1 Se 0.000 0.000 0.500
Se2 Se 0.000 0.500 0.000
Se3 Se 0.500 0.000 0.000
```

The value obtained for the total energy is -21.49 eV for the cell shown. Its symmetry is Pm-3m (221).

***

No. 2
DFT (PBEsol) results for an optimized crystal structure of Hf2BPRu.

CIF file:
```
data_Hf2BPRu
_chemical_formula_sum 'Hf2 B1 P1 Ru1'
_space_group_name_H-M_alt 'P 1'
_space_group_IT_number 1
_cell_length_a 4.891
_cell_length_b 4.891
_cell_length_c 3.875
_cell_angle_alpha 90.00
_cell_angle_beta 90.00
_cell_angle_gamma 90.00
loop_
_space_group_symop_operation_xyz
'x,y,z'
loop_
_atom_site_label
_atom_site_type_symbol
_atom_site_fract_x
_atom_site_fract_y
_atom_site_fract_z
Hf1 Hf 0.000 0.500 0.000
Hf2 Hf 0.500 0.000 0.000
B1 B 0.000 0.000 0.500
P1 P 0.500 0.500 0.500
Ru1 Ru 0.000 0.000 0.000
```

Its formation energy is 0.33 eV per atom. The value obtained for the total energy is -42.33 eV for the cell shown. Its symmetry is P4/mmm (123).

***

No. 3
DFT (PBEsol) results for an optimized crystal structure of LiScAg2.

CIF file:
```
data_LiScAg2
_chemical_formula_sum 'Li2 Sc2 Ag4'
_space_group_name_H-M_alt 'P 1'
_space_group_IT_number 1
_cell_length_a 5.818
_cell_length_b 5.818
_cell_length_c 5.818
_cell_angle_alpha 102.92
_cell_angle_beta 102.92
_cell_angle_gamma 123.55
loop_
_space_group_symop_operation_xyz
'x,y,z'
loop_
_atom_site_label
_atom_site_type_symbol
_atom_site_fract_x
_atom_site_fract_y
_atom_site_fract_z
Li1 Li 0.000 0.000 0.000
Li2 Li 0.750 0.250 0.500
Sc1 Sc 0.250 0.750 0.500
Sc2 Sc 0.500 0.500 0.000
Ag1 Ag 0.091 0.625 0.966
Ag2 Ag 0.375 0.341 0.466
Ag3 Ag 0.659 0.125 0.034
Ag4 Ag 0.875 0.909 0.534
```

Its formation energy is 0.07 eV per atom. The value obtained for the total energy is -29.86 eV for the cell shown. Its symmetry is I-42d (122).

***

No. 4
DFT (PBEsol) results for an optimized crystal structure of SrMg2Hg.

CIF file:
```
data_SrMg2Hg
_chemical_formula_sum 'Sr1 Mg2 Hg1'
_space_group_name_H-M_alt 'P 1'
_space_group_IT_number 1
_cell_length_a 5.263
_cell_length_b 5.263
_cell_length_c 5.263
_cell_angle_alpha 60.00
_cell_angle_beta 60.00
_cell_angle_gamma 60.00
loop_
_space_group_symop_operation_xyz
'x,y,z'
loop_
_atom_site_label
_atom_site_type_symbol
_atom_site_fract_x
_atom_site_fract_y
_atom_site_fract_z
Sr1 Sr 0.000 0.000 0.000
Mg1 Mg 0.250 0.250 0.250
Mg2 Mg 0.500 0.500 0.500
Hg1 Hg 0.750 0.750 0.750
```

Its formation energy is -0.24 eV per atom. The value obtained for the total energy is -6.80 eV for the cell shown. Its symmetry is F-43m (216).

***

No. 5
DFT (PBEsol) results for an optimized crystal structure of TaMoOs2.

CIF file:
```
data_TaMoOs2
_chemical_formula_sum 'Ta1 Mo1 Os2'
_space_group_name_H-M_alt 'P 1'
_space_group_IT_number 1
_cell_length_a 5.147
_cell_length_b 5.147
_cell_length_c 2.736
_cell_angle_alpha 100.96
_cell_angle_beta 100.96
_cell_angle_gamma 116.07
loop_
_space_group_symop_operation_xyz
'x,y,z'
loop_
_atom_site_label
_atom_site_type_symbol
_atom_site_fract_x
_atom_site_fract_y
_atom_site_fract_z
Ta1 Ta 0.000 0.000 0.000
Mo1 Mo 0.500 0.500 0.000
Os1 Os 0.000 0.500 0.500
Os2 Os 0.500 0.000 0.500
```

Its formation energy is 0.14 eV per atom. The relative energy among the computed polymorphs comes out at 157 meV per atom. The value obtained for the total energy is -48.20 eV for the cell shown. Its symmetry is C2/m (12).

***

No. 6
DFT (PBEsol) results for an optimized crystal structure of SiTcOs2.

CIF file:
```
data_SiTcOs2
_chemical_formula_sum 'Si1 Tc1 Os2'
_space_group_name_H-M_alt 'P 1'
_space_group_IT_number 1
_cell_length_a 4.259
_cell_length_b 4.259
_cell_length_c 4.259
_cell_angle_alpha 60.00
_cell_angle_beta 60.00
_cell_angle_gamma 60.00
loop_
_space_group_symop_operation_xyz
'x,y,z'
loop_
_atom_site_label
_atom_site_type_symbol
_atom_site_fract_x
_atom_site_fract_y
_atom_site_fract_z
Si1 Si 0.000 0.000 0.000
Tc1 Tc 0.750 0.750 0.750
Os1 Os 0.250 0.250 0.250
Os2 Os 0.500 0.500 0.500
```

The formation energy without anion corrections is 173 meV per atom. The value obtained for the total energy is -40.75 eV for the cell shown. Its symmetry is F-43m (216).

***

No. 7
DFT (PBEsol) results for an optimized crystal structure of BeAl2Mo.

CIF file:
```
data_BeAl2Mo
_chemical_formula_sum 'Be1 Al2 Mo1'
_space_group_name_H-M_alt 'P 1'
_space_group_IT_number 1
_cell_length_a 8.584
_cell_length_b 8.584
_cell_length_c 8.584
_cell_angle_alpha 18.65
_cell_angle_beta 18.65
_cell_angle_gamma 18.65
loop_
_space_group_symop_operation_xyz
'x,y,z'
loop_
_atom_site_label
_atom_site_type_symbol
_atom_site_fract_x
_atom_site_fract_y
_atom_site_fract_z
Be1 Be 0.000 0.000 0.000
Al1 Al 0.255 0.255 0.255
Al2 Al 0.745 0.745 0.745
Mo1 Mo 0.500 0.500 0.500
```

Its formation energy is 0.15 eV per atom. The value obtained for the total energy is -23.36 eV for the cell shown. Its symmetry is R-3m (166).

***

No. 8
DFT (PBEsol) results for an optimized crystal structure of Na2MgCoSb.

CIF file:
```
data_Na2MgCoSb
_chemical_formula_sum 'Na2 Mg1 Co1 Sb1'
_space_group_name_H-M_alt 'P 1'
_space_group_IT_number 1
_cell_length_a 5.562
_cell_length_b 5.562
_cell_length_c 5.103
_cell_angle_alpha 90.00
_cell_angle_beta 90.00
_cell_angle_gamma 90.00
loop_
_space_group_symop_operation_xyz
'x,y,z'
loop_
_atom_site_label
_atom_site_type_symbol
_atom_site_fract_x
_atom_site_fract_y
_atom_site_fract_z
Na1 Na 0.000 0.500 0.000
Na2 Na 0.500 0.000 0.000
Mg1 Mg 0.000 0.000 0.000
Co1 Co 0.500 0.500 0.500
Sb1 Sb 0.000 0.000 0.500
```

The formation energy without anion corrections is 1060 meV per atom. The value obtained for the total energy is -11.51 eV for the cell shown. Its symmetry is P4/mmm (123).

***

No. 9
DFT (PBEsol) results for an optimized crystal structure of BeRu2Rh.

CIF file:
```
data_BeRu2Rh
_chemical_formula_sum 'Be1 Ru2 Rh1'
_space_group_name_H-M_alt 'P 1'
_space_group_IT_number 1
_cell_length_a 4.281
_cell_length_b 4.281
_cell_length_c 2.735
_cell_angle_alpha 90.00
_cell_angle_beta 90.00
_cell_angle_gamma 90.00
loop_
_space_group_symop_operation_xyz
'x,y,z'
loop_
_atom_site_label
_atom_site_type_symbol
_atom_site_fract_x
_atom_site_fract_y
_atom_site_fract_z
Be1 Be 0.000 0.000 0.000
Ru1 Ru 0.000 0.500 0.500
Ru2 Ru 0.500 0.000 0.500
Rh1 Rh 0.500 0.500 0.000
```

Its formation energy is 0.24 eV per atom. The value obtained for the total energy is -31.51 eV for the cell shown. Its symmetry is P4/mmm (123).

***

No. 10
DFT (PBEsol) results for an optimized crystal structure of Al3Sb4.

CIF file:
```
data_Al3Sb4
_chemical_formula_sum 'Al3 Sb4'
_space_group_name_H-M_alt 'P 1'
_space_group_IT_number 1
_cell_length_a 12.422
_cell_length_b 12.422
_cell_length_c 12.422
_cell_angle_alpha 162.78
_cell_angle_beta 162.78
_cell_angle_gamma 24.44
loop_
_space_group_symop_operation_xyz
'x,y,z'
loop_
_atom_site_label
_atom_site_type_symbol
_atom_site_fract_x
_atom_site_fract_y
_atom_site_fract_z
Al1 Al 0.000 0.000 0.000
Al2 Al 0.285 0.285 0.000
Al3 Al 0.715 0.715 0.000
Sb1 Sb 0.171 0.171 0.000
Sb2 Sb 0.440 0.440 0.000
Sb3 Sb 0.560 0.560 0.000
Sb4 Sb 0.829 0.829 0.000
```

The formation energy without anion corrections is 98 meV per atom. The value obtained for the total energy is -29.82 eV for the cell shown. Its symmetry is I4/mmm (139).

***

No. 11
DFT (PBEsol) results for an optimized crystal structure of ReOsPt.

CIF file:
```
data_ReOsPt
_chemical_formula_sum 'Re1 Os1 Pt1'
_space_group_name_H-M_alt 'P 1'
_space_group_IT_number 1
_cell_length_a 2.731
_cell_length_b 2.731
_cell_length_c 6.745
_cell_angle_alpha 90.00
_cell_angle_beta 90.00
_cell_angle_gamma 120.00
loop_
_space_group_symop_operation_xyz
'x,y,z'
loop_
_atom_site_label
_atom_site_type_symbol
_atom_site_fract_x
_atom_site_fract_y
_atom_site_fract_z
Re1 Re 0.000 0.000 0.000
Os1 Os 0.333 0.667 0.689
Pt1 Pt 0.667 0.333 0.342
```

Its formation energy is -0.03 eV per atom. The relative energy among the computed polymorphs comes out at 0 meV per atom. The value obtained for the total energy is -32.60 eV for the cell shown. Its symmetry is P3m1 (156).

***

No. 12
DFT (PBEsol) results for an optimized crystal structure of ZrTc2Rh.

CIF file:
```
data_ZrTc2Rh
_chemical_formula_sum 'Zr1 Tc2 Rh1'
_space_group_name_H-M_alt 'P 1'
_space_group_IT_number 1
_cell_length_a 3.774
_cell_length_b 3.774
_cell_length_c 4.322
_cell_angle_alpha 90.00
_cell_angle_beta 90.00
_cell_angle_gamma 90.00
loop_
_space_group_symop_operation_xyz
'x,y,z'
loop_
_atom_site_label
_atom_site_type_symbol
_atom_site_fract_x
_atom_site_fract_y
_atom_site_fract_z
Zr1 Zr 0.000 0.000 0.000
Tc1 Tc 0.000 0.500 0.500
Tc2 Tc 0.500 0.000 0.500
Rh1 Rh 0.500 0.500 0.000
```

Its formation energy is -0.15 eV per atom. The relative energy among the computed polymorphs comes out at 0 meV per atom. The value obtained for the total energy is -40.38 eV for the cell shown. Its symmetry is P4/mmm (123).

***

No. 13
DFT (PBEsol) results for an optimized crystal structure of YTaCoSi2.

CIF file:
```
data_YTaCoSi2
_chemical_formula_sum 'Y1 Ta1 Co1 Si2'
_space_group_name_H-M_alt 'P 1'
_space_group_IT_number 1
_cell_length_a 4.321
_cell_length_b 4.321
_cell_length_c 4.709
_cell_angle_alpha 90.00
_cell_angle_beta 90.00
_cell_angle_gamma 90.00
loop_
_space_group_symop_operation_xyz
'x,y,z'
loop_
_atom_site_label
_atom_site_type_symbol
_atom_site_fract_x
_atom_site_fract_y
_atom_site_fract_z
Y1 Y 0.000 0.000 0.000
Ta1 Ta 0.500 0.500 0.000
Co1 Co 0.000 0.000 0.500
Si1 Si 0.000 0.500 0.500
Si2 Si 0.500 0.000 0.500
```

The formation energy without anion corrections is 374 meV per atom. The value obtained for the total energy is -36.73 eV for the cell shown. Its symmetry is P4/mmm (123).

***

No. 14
DFT (PBEsol) results for an optimized crystal structure of Ta2CdSi.

CIF file:
```
data_Ta2CdSi
_chemical_formula_sum 'Ta2 Cd1 Si1'
_space_group_name_H-M_alt 'P 1'
_space_group_IT_number 1
_cell_length_a 4.583
_cell_length_b 4.583
_cell_length_c 4.583
_cell_angle_alpha 60.00
_cell_angle_beta 60.00
_cell_angle_gamma 60.00
loop_
_space_group_symop_operation_xyz
'x,y,z'
loop_
_atom_site_label
_atom_site_type_symbol
_atom_site_fract_x
_atom_site_fract_y
_atom_site_fract_z
Ta1 Ta 0.000 0.000 0.000
Ta2 Ta 0.250 0.250 0.250
Cd1 Cd 0.500 0.500 0.500
Si1 Si 0.750 0.750 0.750
```

The formation energy without anion corrections is 465 meV per atom. The value obtained for the total energy is -30.19 eV for the cell shown. Its symmetry is F-43m (216).